Record 1
{
  "formula": "AlCd2SbPb",
  "functional": "PBE",
  "state": "relaxed",
  "cell": [[5.527, 0.000, 0.000], [0.000, 5.527, 0.000], [0.000, 0.000, 5.439]],
  "species": ["Al", "Cd", "Cd", "Sb", "Pb"],
  "frac_coords": [[0.000, 0.000, 0.000], [0.000, 0.500, 0.500], [0.500, 0.000, 0.500], [0.000, 0.000, 0.500], [0.500, 0.500, 0.000]],
  "dos_ef_per_ev_fu": 3.5,
  "final_energy_ev_per_cell": -10.68,
  "vol_a3_per_atom": 33.23,
  "formation_energy_uncorrected_ev_per_atom": 0.5454
}

Record 2
{
  "formula": "BaAlIn2",
  "functional": "PBE",
  "state": "relaxed",
  "cell": [[3.378, -5.686, 0.000], [3.378, 5.686, 0.000], [-1.259, 0.000, 3.101]],
  "species": ["Ba", "Al", "In", "In"],
  "frac_coords": [[0.000, 0.000, 0.000], [0.500, 0.500, 0.000], [0.000, 0.500, 0.500], [0.500, 0.000, 0.500]],
  "dos_ef_per_ev_fu": 2.2,
  "e_form_ev_per_fu": 0.21,
  "final_energy_ev_per_cell": -10.93,
  "vol_a3_per_atom": 29.78
}

Record 3
{
  "formula": "PmHoSbTe",
  "functional": "PBE",
  "state": "relaxed",
  "cell": [[2.207, 1.274, 7.246], [-2.207, 1.274, 7.246], [0.000, -2.549, 7.246]],
  "species": ["Pm", "Ho", "Sb", "Te"],
  "frac_coords": [[0.000, 0.000, 0.000], [0.493, 0.493, 0.493], [0.749, 0.749, 0.749], [0.243, 0.243, 0.243]],
  "dos_ef_per_ev_fu": 1.8,
  "final_energy_ev_per_cell": -21.73,
  "vol_a3_per_atom": 30.57,
  "formation_energy_uncorrected_ev_per_atom": -1.2847
}

Record 4
{
  "formula": "Sm2ThPd3",
  "functional": "PBE",
  "state": "relaxed",
  "cell": [[6.637, -2.953, 0.000], [6.637, 2.953, 0.000], [-2.581, 0.000, 7.887]],
  "species": ["Sm", "Sm", "Sm", "Sm", "Th", "Th", "Pd", "Pd", "Pd", "Pd", "Pd", "Pd"],
  "frac_coords": [[0.165, 0.167, 0.083], [0.167, 0.165, 0.583], [0.833, 0.835, 0.417], [0.835, 0.833, 0.917], [0.500, 0.500, 0.250], [0.500, 0.500, 0.750], [0.000, 0.000, 0.250], [0.000, 0.000, 0.750], [0.336, 0.338, 0.418], [0.338, 0.336, 0.918], [0.662, 0.664, 0.082], [0.664, 0.662, 0.582]],
  "de_polymorph_ev_per_atom": 0.031,
  "dos_ef_per_ev_fu": 2.4,
  "e_form_ev_per_fu": -4.27,
  "final_energy_ev_per_cell": -73.42,
  "vol_a3_per_atom": 25.77
}

Record 5
{
  "formula": "TcPb2S2",
  "functional": "PBE",
  "state": "relaxed",
  "cell": [[-2.156, 2.156, 6.951], [2.156, -2.156, 6.951], [2.156, 2.156, -6.951]],
  "species": ["Tc", "Pb", "Pb", "S", "S"],
  "frac_coords": [[0.000, 0.000, 0.000], [0.250, 0.750, 0.500], [0.750, 0.250, 0.500], [0.419, 0.419, 0.000], [0.581, 0.581, 0.000]],
  "de_polymorph_ev_per_atom": 0.887,
  "dos_ef_per_ev_fu": 3.5,
  "final_energy_ev_per_cell": -21.38,
  "vol_a3_per_atom": 25.84,
  "formation_energy_uncorrected_ev_per_atom": 0.9323
}

Record 6
{
  "formula": "BeCuAs2",
  "functional": "PBE",
  "state": "relaxed",
  "cell": [[4.191, 0.000, 0.000], [0.000, 2.196, 3.597], [0.000, -2.196, 3.597]],
  "species": ["Be", "Cu", "As", "As"],
  "frac_coords": [[0.000, 0.000, 0.000], [0.500, 0.159, 0.159], [0.000, 0.340, 0.340], [0.500, 0.825, 0.825]],
  "dos_ef_per_ev_fu": 1.0,
  "e_form_ev_per_fu": 0.20,
  "final_energy_ev_per_cell": -16.92,
  "vol_a3_per_atom": 16.56
}

Record 7
{
  "formula": "Ta3Cr",
  "functional": "PBE",
  "state": "relaxed",
  "cell": [[3.181, 0.000, 0.000], [0.000, 3.181, 0.000], [0.000, 0.000, 6.571]],
  "species": ["Ta", "Ta", "Ta", "Cr"],
  "frac_coords": [[0.000, 0.000, 0.000], [0.500, 0.500, 0.270], [0.500, 0.500, 0.730], [0.000, 0.000, 0.500]],
  "dos_ef_per_ev_fu": 5.4,
  "e_form_ev_per_fu": 0.06,
  "final_energy_ev_per_cell": -45.13,
  "vol_a3_per_atom": 16.62
}

Record 8
{
  "formula": "CsSrBr3",
  "functional": "PBE",
  "state": "relaxed",
  "cell": [[4.915, 2.837, 4.419], [-4.915, 2.837, 4.419], [0.000, -5.675, 4.419]],
  "species": ["Cs", "Sr", "Br", "Br", "Br"],
  "frac_coords": [[0.000, 0.000, 0.000], [0.323, 0.323, 0.323], [0.070, 0.070, 0.507], [0.070, 0.507, 0.070], [0.507, 0.070, 0.070]],
  "dos_ef_per_ev_fu": 0.0,
  "final_energy_ev_per_cell": -16.16,
  "vol_a3_per_atom": 73.95,
  "formation_energy_uncorrected_ev_per_atom": -1.7205
}